# 1
MoAs2PtBr | PBE | relaxed

Relative energy among the computed polymorphs   0.0 meV/atom
Total magnetic moment   0.0 μB/f.u.
Symmetry   P4/mmm (123)

a b c (Å): 4.903 4.903 4.847
angles (deg): 90.00 90.00 90.00
Fractional coordinates of all 5 atoms:
1 As 0.500 0.000 0.000
2 As 0.000 0.500 0.000
3 Br 0.000 0.000 0.500
4 Pt 0.500 0.500 0.500
5 Mo 0.000 0.000 0.000



# 2
MoAsPtBr2 | PBE | relaxed

Relative energy among the computed polymorphs   0.0 meV/atom
Total magnetic moment   0.0 μB/f.u.
Symmetry   P4/mmm (123)

a b c (Å): 4.901 4.901 5.057
angles (deg): 90.00 90.00 90.00
Fractional coordinates of all 5 atoms:
1 Br 0.000 0.500 0.000
2 Br 0.500 0.000 0.000
3 As 0.000 0.000 0.500
4 Pt 0.500 0.500 0.500
5 Mo 0.000 0.000 0.000



# 3
RbMoAs2Br | PBE | relaxed

Relative energy among the computed polymorphs   2016.0 meV/atom
Total magnetic moment   2.5 μB/f.u.
Symmetry   P4/mmm (123)

a b c (Å): 5.756 5.756 5.889
angles (deg): 90.00 90.00 90.00
Fractional coordinates of all 5 atoms:
1 Mo 0.500 0.500 0.500
2 Br 0.000 0.000 0.500
3 As 0.000 0.500 0.000
4 As 0.500 0.000 0.000
5 Rb 0.000 0.000 0.000



# 4
RbMoAs2Br | PBE | relaxed

Relative energy among the computed polymorphs   0.0 meV/atom
Total magnetic moment   0.4 μB/f.u.
Symmetry   P4/mmm (123)

a b c (Å): 4.869 4.869 5.901
angles (deg): 90.00 90.00 90.00
Fractional coordinates of all 5 atoms:
1 As 0.000 0.500 0.000
2 As 0.500 0.000 0.000
3 Rb 0.500 0.500 0.500
4 Br 0.000 0.000 0.500
5 Mo 0.000 0.000 0.000



# 5
ReMoAs2Br | PBE | relaxed

Relative energy among the computed polymorphs   245.5 meV/atom
Total magnetic moment   5.4 μB/f.u.
Symmetry   P4/mmm (123)

a b c (Å): 4.872 4.872 5.191
angles (deg): 90.00 90.00 90.00
Fractional coordinates of all 5 atoms:
1 As 0.000 0.500 0.000
2 As 0.500 0.000 0.000
3 Re 0.500 0.500 0.500
4 Br 0.000 0.000 0.500
5 Mo 0.000 0.000 0.000



# 6
ReMoAs2Br | PBE | relaxed

Relative energy among the computed polymorphs   0.0 meV/atom
Total magnetic moment   4.4 μB/f.u.
Symmetry   P4/mmm (123)

a b c (Å): 4.737 4.737 5.476
angles (deg): 90.00 90.00 90.00
Fractional coordinates of all 5 atoms:
1 As 0.500 0.000 0.000
2 As 0.000 0.500 0.000
3 Mo 0.500 0.500 0.500
4 Br 0.000 0.000 0.500
5 Re 0.000 0.000 0.000



# 7
MoAs2RhBr | PBE | relaxed

Relative energy among the computed polymorphs   0.0 meV/atom
Total magnetic moment   1.0 μB/f.u.
Symmetry   P4/mmm (123)

a b c (Å): 4.804 4.804 5.199
angles (deg): 90.00 90.00 90.00
Fractional coordinates of all 5 atoms:
1 Mo 0.000 0.000 0.000
2 As 0.500 0.000 0.000
3 As 0.000 0.500 0.000
4 Br 0.000 0.000 0.500
5 Rh 0.500 0.500 0.500



# 8
MoAs2RuBr | PBE | relaxed

Relative energy among the computed polymorphs   122.1 meV/atom
Total magnetic moment   3.3 μB/f.u.
Symmetry   P4/mmm (123)

a b c (Å): 4.825 4.825 5.215
angles (deg): 90.00 90.00 90.00
Fractional coordinates of all 5 atoms:
1 Br 0.000 0.000 0.500
2 Mo 0.000 0.000 0.000
3 As 0.500 0.000 0.000
4 As 0.000 0.500 0.000
5 Ru 0.500 0.500 0.500



# 9
MoAs2RuBr | PBE | relaxed

Relative energy among the computed polymorphs   0.0 meV/atom
Total magnetic moment   3.9 μB/f.u.
Symmetry   P4/mmm (123)

a b c (Å): 4.705 4.705 5.310
angles (deg): 90.00 90.00 90.00
Fractional coordinates of all 5 atoms:
1 As 0.000 0.500 0.000
2 As 0.500 0.000 0.000
3 Br 0.000 0.000 0.500
4 Ru 0.000 0.000 0.000
5 Mo 0.500 0.500 0.500



# 10
MoAs2SBr | PBE | relaxed

Relative energy among the computed polymorphs   569.2 meV/atom
Total magnetic moment   2.7 μB/f.u.
Symmetry   P4/mmm (123)

a b c (Å): 4.791 4.791 5.016
angles (deg): 90.00 90.00 90.00
Fractional coordinates of all 5 atoms:
1 As 0.500 0.000 0.000
2 As 0.000 0.500 0.000
3 Mo 0.500 0.500 0.500
4 Br 0.000 0.000 0.500
5 S 0.000 0.000 0.000



# 11
MoAs2SBr | PBE | relaxed

Relative energy among the computed polymorphs   0.0 meV/atom
Total magnetic moment   0.0 μB/f.u.
Symmetry   P4/mmm (123)

a b c (Å): 4.938 4.938 4.838
angles (deg): 90.00 90.00 90.00
Fractional coordinates of all 5 atoms:
1 As 0.000 0.500 0.000
2 As 0.500 0.000 0.000
3 Br 0.000 0.000 0.500
4 Mo 0.000 0.000 0.000
5 S 0.500 0.500 0.500



# 12
Sb2MoAsBr | PBE | relaxed

Total magnetic moment   2.8 μB/f.u.
Symmetry   P4/mmm (123)

a b c (Å): 5.382 5.019 5.382
angles (deg): 90.00 90.00 90.00
Fractional coordinates of all 5 atoms:
1 Sb 0.000 0.000 0.500
2 Sb 0.500 0.000 0.000
3 Mo 0.500 0.500 0.500
4 As 0.000 0.500 0.000
5 Br 0.000 0.000 0.000



no.,formation energy without anion corrections (eV per atom),E (eV/atom)
1,0.8473,-4.721
2,0.8879,-4.085
3,1.7807,-2.773
4,-0.2353,-4.789
5,1.4094,-5.441
6,1.1639,-5.686
7,0.8923,-4.939
8,1.1226,-5.093
9,1.0006,-5.215
10,1.1676,-4.019
11,0.5984,-4.588
12,1.5250,-3.555